# 1
A plane-wave DFT calculation with PBE was carried out for an optimized crystal structure of Pm2Th2CoPd2.

a b c (Å): 4.153 7.116 7.293
angles (deg): 63.62 73.37 89.99
Positions (direct):
Th (0.791, 0.765, 0.419)
Th (0.209, 0.235, 0.581)
Pd (0.129, 0.573, 0.742)
Pd (0.871, 0.427, 0.258)
Pm (0.520, 0.757, 0.961)
Pm (0.480, 0.243, 0.039)
Co (0.000, 0.000, 0.000)

Values from the calculation:
**VASP energy**: -6.371 eV/atom
**Crystal system**: triclinic



# 2
A plane-wave DFT calculation with PBE was carried out for an optimized crystal structure of PmThCoPd.

a b c (Å): 5.010 5.010 5.010
angles (deg): 60.00 60.00 60.00
Each line ends with the local moment (μB).
Positions (direct):
Pd (0.000, 0.000, 0.000)  0.00
Co (0.500, 0.500, 0.500)  0.44
Pm (0.750, 0.750, 0.750)  -0.04
Th (0.250, 0.250, 0.250)  -0.04

Values from the calculation:
**VASP energy**: -6.459 eV/atom
**Polymorph energy (0 for the lowest one)**: 0.176 eV per atom
**Crystal system**: cubic



# 3
A plane-wave DFT calculation with PBE was carried out for an optimized crystal structure of PmThCoPd.

a b c (Å): 3.862 4.032 6.128
angles (deg): 90.00 108.37 90.00
Positions (direct):
Pd (0.579, 0.500, 0.157)
Th (0.871, 0.500, 0.742)
Co (0.400, 0.000, 0.801)
Pm (0.150, 0.000, 0.300)

Values from the calculation:
**VASP energy**: -6.635 eV/atom
**Polymorph energy (0 for the lowest one)**: 0.000 eV per atom
**Crystal system**: orthorhombic



# 4
A plane-wave DFT calculation with PBE was carried out for an optimized crystal structure of PmTmCoPd.

a b c (Å): 4.885 4.885 4.885
angles (deg): 60.00 60.00 60.00
Each line ends with the local moment (μB).
Positions (direct):
Pd (0.000, 0.000, 0.000)  0.00
Pm (0.750, 0.750, 0.750)  -0.04
Co (0.500, 0.500, 0.500)  0.38
Tm (0.250, 0.250, 0.250)  -0.07

Values from the calculation:
**VASP energy**: -5.819 eV/atom
**Crystal system**: cubic



# 5
A plane-wave DFT calculation with PBE was carried out for an optimized crystal structure of PmYCoPd.

a b c (Å): 4.927 4.927 4.927
angles (deg): 60.00 60.00 60.00
Each line ends with the local moment (μB).
Positions (direct):
Co (0.000, 0.000, 0.000)  0.48
Pd (0.500, 0.500, 0.500)  0.01
Y (0.750, 0.750, 0.750)  -0.06
Pm (0.250, 0.250, 0.250)  -0.05

Values from the calculation:
**VASP energy**: -6.282 eV/atom
**Crystal system**: cubic



# 6
A plane-wave DFT calculation with PBE was carried out for an optimized crystal structure of Pr8CoPd2.

a b c (Å): 5.116 7.085 9.262
angles (deg): 97.90 106.03 90.00
Positions (direct):
Pr (0.658, 0.974, 0.315)
Pr (0.027, 0.782, 0.054)
Pr (0.973, 0.218, 0.946)
Pr (0.589, 0.448, 0.177)
Pr (0.342, 0.026, 0.685)
Pr (0.795, 0.665, 0.591)
Pr (0.411, 0.552, 0.823)
Pr (0.205, 0.335, 0.409)
Pd (0.801, 0.256, 0.603)
Pd (0.199, 0.744, 0.397)
Co (0.500, 0.000, 0.000)

Values from the calculation:
**VASP energy**: -5.301 eV/atom
**Polymorph energy (0 for the lowest one)**: 0.034 eV per atom
**Crystal system**: monoclinic



# 7
A plane-wave DFT calculation with PBE was carried out for an optimized crystal structure of Pr4Co2Pd.

a b c (Å): 3.956 5.698 18.749
angles (deg): 90.00 90.00 110.31
Each line ends with the local moment (μB).
Positions (direct):
Co (0.785, 0.569, 0.519)  0.95
Co (0.215, 0.431, 0.481)  0.95
Co (0.215, 0.431, 0.019)  0.95
Co (0.785, 0.569, 0.981)  0.95
Pr (0.222, 0.443, 0.867)  -0.06
Pr (0.500, 0.000, 0.500)  -0.11
Pr (0.778, 0.557, 0.367)  -0.06
Pr (0.500, 0.000, 0.000)  -0.11
Pr (0.778, 0.557, 0.133)  -0.06
Pr (0.942, 0.884, 0.750)  -0.01
Pr (0.058, 0.116, 0.250)  -0.01
Pr (0.222, 0.443, 0.633)  -0.06
Pd (0.652, 0.304, 0.750)  -0.01
Pd (0.348, 0.696, 0.250)  -0.01

Values from the calculation:
**VASP energy**: -5.614 eV/atom
**Crystal system**: orthorhombic



# 8
A plane-wave DFT calculation with PBE was carried out for an optimized crystal structure of Pr12CoPd6.

a b c (Å): 8.459 8.459 8.459
angles (deg): 97.95 97.95 97.95
Positions (direct):
Pr (0.420, 0.817, 0.581)
Pr (0.817, 0.581, 0.420)
Pr (0.035, 0.685, 0.929)
Pr (0.071, 0.965, 0.315)
Pr (0.581, 0.420, 0.817)
Pr (0.965, 0.315, 0.071)
Pr (0.419, 0.580, 0.183)
Pr (0.929, 0.035, 0.685)
Pr (0.685, 0.929, 0.035)
Pr (0.580, 0.183, 0.419)
Pr (0.183, 0.419, 0.580)
Pr (0.315, 0.071, 0.965)
Pd (0.309, 0.129, 0.622)
Pd (0.871, 0.378, 0.691)
Pd (0.691, 0.871, 0.378)
Pd (0.129, 0.622, 0.309)
Pd (0.622, 0.309, 0.129)
Pd (0.378, 0.691, 0.871)
Co (0.000, 0.000, 0.000)

Values from the calculation:
**VASP energy**: -5.432 eV/atom
**Crystal system**: trigonal



# 9
A plane-wave DFT calculation with PBE was carried out for an optimized crystal structure of Pr8Co2Pd.

a b c (Å): 6.510 7.574 7.574
angles (deg): 113.11 99.79 99.79
Positions (direct):
Co (0.490, 0.693, 0.318)
Co (0.490, 0.318, 0.693)
Pr (0.976, 0.786, 0.206)
Pr (0.784, 0.643, 0.643)
Pr (0.184, 0.370, 0.370)
Pr (0.364, 0.648, 0.925)
Pr (0.595, 0.351, 0.081)
Pr (0.595, 0.081, 0.351)
Pr (0.976, 0.206, 0.786)
Pr (0.364, 0.925, 0.648)
Pd (0.182, 0.012, 0.012)

Values from the calculation:
**VASP energy**: -5.303 eV/atom
**Crystal system**: monoclinic



# 10
A plane-wave DFT calculation with PBE was carried out for an optimized crystal structure of Pr4CoPd.

a b c (Å): 6.440 7.551 7.551
angles (deg): 110.22 97.57 97.57
Positions (direct):
Pr (0.931, 0.607, 0.772)
Pr (0.027, 0.935, 0.266)
Pr (0.473, 0.734, 0.065)
Pr (0.973, 0.065, 0.734)
Pr (0.569, 0.228, 0.393)
Pr (0.527, 0.266, 0.935)
Pr (0.069, 0.393, 0.228)
Pr (0.431, 0.772, 0.607)
Co (0.750, 0.001, 0.999)
Co (0.250, 0.999, 0.001)
Pd (0.750, 0.626, 0.374)
Pd (0.250, 0.374, 0.626)

Values from the calculation:
**VASP energy**: -5.489 eV/atom
**Polymorph energy (0 for the lowest one)**: 0.000 eV per atom
**Crystal system**: monoclinic



# 11
A plane-wave DFT calculation with PBE was carried out for an optimized crystal structure of Pr4CoPd.

a b c (Å): 7.214 6.960 8.543
angles (deg): 109.63 110.69 99.73
Positions (direct):
Pd (0.623, 0.373, 0.747)
Pd (0.377, 0.627, 0.253)
Pr (0.950, 0.286, 0.070)
Pr (0.791, 0.036, 0.570)
Pr (0.721, 0.466, 0.430)
Pr (0.620, 0.784, 0.070)
Pr (0.380, 0.216, 0.930)
Pr (0.209, 0.964, 0.430)
Pr (0.279, 0.534, 0.570)
Pr (0.050, 0.714, 0.930)
Co (0.089, 0.839, 0.677)
Co (0.911, 0.161, 0.323)

Values from the calculation:
**VASP energy**: -5.452 eV/atom
**Polymorph energy (0 for the lowest one)**: 0.037 eV per atom
**Crystal system**: monoclinic



# 12
A plane-wave DFT calculation with PBE was carried out for an optimized crystal structure of Pr8CoPd2.

a b c (Å): 3.980 8.983 9.665
angles (deg): 94.29 101.88 90.00
Positions (direct):
Pr (0.993, 0.795, 0.986)
Pr (0.594, 0.530, 0.188)
Pr (0.652, 0.985, 0.304)
Pr (0.780, 0.664, 0.559)
Pr (0.348, 0.015, 0.696)
Pr (0.220, 0.336, 0.441)
Pr (0.406, 0.470, 0.812)
Pr (0.007, 0.205, 0.014)
Pd (0.170, 0.741, 0.340)
Pd (0.830, 0.259, 0.660)
Co (0.500, 0.000, 0.000)

Values from the calculation:
**VASP energy**: -5.335 eV/atom
**Polymorph energy (0 for the lowest one)**: 0.000 eV per atom
**Crystal system**: monoclinic



Which formula does entry 11 have? Pr4CoPd



Among the records above, which one has the highest VASP energy? number 6



Please write out number 1 again, unchanged.
A plane-wave DFT calculation with PBE was carried out for an optimized crystal structure of Pm2Th2CoPd2.

a b c (Å): 4.153 7.116 7.293
angles (deg): 63.62 73.37 89.99
Positions (direct):
Th (0.791, 0.765, 0.419)
Th (0.209, 0.235, 0.581)
Pd (0.129, 0.573, 0.742)
Pd (0.871, 0.427, 0.258)
Pm (0.520, 0.757, 0.961)
Pm (0.480, 0.243, 0.039)
Co (0.000, 0.000, 0.000)

Values from the calculation:
**VASP energy**: -6.371 eV/atom
**Crystal system**: triclinic



Look up the VASP energy of the fourth one. -5.819 eV/atom